# HoPuTe2H (PBE, relaxed)
# Mass density (Mg/m³): 9.11
# Final energy (eV per atom): -6.73
data_HoPuTe2H
_chemical_formula_sum 'Ho2 Pu2 Te4 H2'
_symmetry_space_group_name_H-M 'P 4/n m m'
_symmetry_Int_Tables_number 129
_cell_length_a 4.234
_cell_length_b 4.234
_cell_length_c 13.519
_cell_angle_alpha 90.00
_cell_angle_beta 90.00
_cell_angle_gamma 90.00
loop_
_symmetry_equiv_pos_as_xyz
'x,y,z'
'-x,-y,-z'
'-y+1/2,x,z'
'y+1/2,-x,-z'
'-x+1/2,-y+1/2,z'
'x+1/2,y+1/2,-z'
'y,-x+1/2,z'
'-y,x+1/2,-z'
'x+1/2,-y,-z'
'-x+1/2,y,z'
'-y,-x,-z'
'y,x,z'
'-x,y+1/2,-z'
'x,-y+1/2,z'
'y+1/2,x+1/2,-z'
'-y+1/2,-x+1/2,z'
loop_
_atom_site_label
_atom_site_fract_x
_atom_site_fract_y
_atom_site_fract_z
Ho1 0.250 0.250 0.099
Pu1 0.250 0.250 0.576
Te1 0.250 0.250 0.331
Te2 0.250 0.250 0.869
H1 0.250 0.750 0.500